Sr3PaZn2O8: relaxed, PBE.

```
Sr3PaZn2O8
1.0
5.949 0.000 0.000
-2.974 5.152 0.000
0.000 0.000 7.417
Sr Pa Zn O
3 1 2 8
direct
0.000 0.000 0.000
0.333 0.667 0.636
0.667 0.333 0.364
0.000 0.000 0.500
0.333 0.667 0.190
0.667 0.333 0.810
0.167 0.334 0.326
0.167 0.833 0.326
0.333 0.667 0.943
0.334 0.167 0.674
0.666 0.833 0.326
0.667 0.333 0.057
0.833 0.167 0.674
0.833 0.666 0.674
```

Calculated values
DFT total energy   -6.430 eV/atom
Total magnetic moment   0.07 μB/atom
ΔE_f (raw)   -2.376 eV per atom
N(E_F)   9.32 states/eV/cell